1.
The following is a DFT calculation (PBE-GGA) of a geometry-optimized K2Rb4O structure. Values from VASP.

Properties
Its mass density is 1.70 g/cm3. Its distance to the lowest polymorph of the same formula is 0.000 eV per atom. The formation energy (no corrections) is -2.8 eV per formula unit. The value obtained for the density of states at the Fermi level is 4.18 states/eV/f.u.

```
&SYSTEM
  ibrav = 0, nat = 7, ntyp = 3
/
ATOMIC_SPECIES
K 39.10 K.upf
O 16.00 O.upf
Rb 85.47 Rb.upf
ATOMIC_POSITIONS crystal
K 0.7016 0.7016 0.5968
K 0.2984 0.2984 0.4032
O 0.0000 0.0000 0.0000
Rb 0.8924 0.8924 0.2152
Rb 0.1076 0.1076 0.7848
Rb 0.0000 0.5000 0.0000
Rb 0.5000 0.0000 0.0000
CELL_PARAMETERS angstrom
5.8338 0.0000 0.0000
0.0000 5.8338 0.0000
2.9169 2.9169 12.5220
```

2.
The following is a DFT calculation (PBE-GGA) of a geometry-optimized KRb2O structure. Values from VASP.

Properties
Its mass density is 1.65 g/cm3. The formation energy (no corrections) is -2.0 eV per formula unit. The value obtained for the density of states at the Fermi level is 3.07 states/eV/f.u.

```
&SYSTEM
  ibrav = 0, nat = 8, ntyp = 3
/
ATOMIC_SPECIES
K 39.10 K.upf
O 16.00 O.upf
Rb 85.47 Rb.upf
ATOMIC_POSITIONS crystal
K 0.0000 0.0000 0.0000
K 0.7500 0.2500 0.5000
O 0.5000 0.5000 0.0000
O 0.2500 0.7500 0.5000
Rb 0.4211 0.1250 0.2500
Rb 0.3289 0.6250 0.2500
Rb 0.3750 0.5789 0.7500
Rb 0.8750 0.6711 0.7500
CELL_PARAMETERS angstrom
8.7039 0.0000 0.0000
0.0000 8.7039 0.0000
4.3520 4.3520 6.0068
```

3.
The following is a DFT calculation (PBE-GGA) of a geometry-optimized K2Rb3O3 structure. Values from VASP.

Properties
Its mass density is 2.56 g/cm3. The formation energy (no corrections) is -7.4 eV per formula unit. The value obtained for the density of states at the Fermi level is 6.46 states/eV/f.u.

```
&SYSTEM
  ibrav = 0, nat = 16, ntyp = 3
/
ATOMIC_SPECIES
K 39.10 K.upf
Rb 85.47 Rb.upf
O 16.00 O.upf
ATOMIC_POSITIONS crystal
K 0.7100 0.4201 0.9266
K 0.9477 0.8954 0.6096
K 0.2907 0.5813 0.4264
K 0.2917 0.5835 0.0747
Rb 0.6977 0.3953 0.5783
Rb 0.7674 0.5348 0.2499
Rb 0.9597 0.9194 0.8803
Rb 0.2347 0.4694 0.7518
Rb 0.0427 0.0855 0.1152
Rb 0.0418 0.0836 0.3849
O 0.8189 0.6378 0.7518
O 0.8575 0.7151 0.0576
O 0.8564 0.7128 0.4414
O 0.1845 0.3690 0.2511
O 0.1432 0.2864 0.9421
O 0.1354 0.2708 0.5628
CELL_PARAMETERS angstrom
5.1909 0.0000 0.0000
-2.5955 6.8848 -0.0026
0.0000 0.1293 13.9016
```

Q: What is the formation energy (no corrections) in the first record?
A: -2.8 eV per formula unit